VASP calculation (PBE-GGA) on La2SmAg2Sn2 after structural relaxation.

The value obtained for the formation energy is -0.45 eV/atom. As for the total energy: -0.1650 Ha/atom. As for the calculated density: 7573 kg/m3.

Cell lengths 4.848, 4.848, 9.898 Å; angles 75.82, 75.82, 60.00 degrees
Sites, in units of the cell vectors:
La (0.129, 0.129, 0.612)
La (0.871, 0.871, 0.388)
Sm (0.000, 0.000, 0.000)
Ag (0.605, 0.605, 0.186)
Ag (0.395, 0.395, 0.814)
Sn (0.735, 0.735, 0.795)
Sn (0.265, 0.265, 0.205)

VASP calculation (PBE-GGA) on Dy2ErPt after structural relaxation.

The value obtained for the formation energy is -0.58 eV/atom. As for the total energy: -0.2033 Ha/atom. The value obtained for the relative energy among the computed polymorphs is 144 meV/atom. As for the calculated density: 10749 kg/m3.

Cell lengths 3.572, 3.572, 8.321 Å; angles 90.00, 90.00, 90.00 degrees
Sites, in units of the cell vectors:
Dy (0.000, 0.000, 0.803)
Dy (0.000, 0.000, 0.197)
Pt (0.500, 0.500, 0.000)
Er (0.500, 0.500, 0.500)

VASP calculation (PBE-GGA) on Dy4AlHgO after structural relaxation.

As for the total energy: -0.1822 Ha/atom. The value obtained for the raw formation energy is -1.041 eV per atom. As for the calculated density: 8797 kg/m3.

Cell lengths 6.556, 6.560, 8.501 Å; angles 90.00, 112.68, 90.00 degrees
Sites, in units of the cell vectors:
Dy (0.925, 0.250, 0.850)
Dy (0.423, 0.750, 0.847)
Dy (0.075, 0.750, 0.150)
Dy (0.577, 0.250, 0.153)
Dy (0.500, 0.500, 0.500)
Dy (0.000, 0.000, 0.500)
Dy (0.500, 0.000, 0.500)
Dy (0.000, 0.500, 0.500)
Al (0.617, 0.750, 0.234)
Al (0.383, 0.250, 0.766)
Hg (0.116, 0.250, 0.232)
Hg (0.884, 0.750, 0.768)
O (0.249, 0.750, 0.497)
O (0.751, 0.250, 0.503)

VASP calculation (PBE-GGA) on LiCeCu2Ge2 after structural relaxation.

The value obtained for the formation energy is -0.46 eV/atom. As for the total energy: -0.1719 Ha/atom. As for the calculated density: 6798 kg/m3.

Cell lengths 4.184, 4.184, 6.756 Å; angles 90.00, 90.00, 120.00 degrees
Sites, in units of the cell vectors:
Li (0.000, 0.000, 0.500)
Ce (0.000, 0.000, 0.000)
Cu (0.333, 0.667, 0.666)
Cu (0.667, 0.333, 0.334)
Ge (0.333, 0.667, 0.273)
Ge (0.667, 0.333, 0.727)